# 1
CrBTe2I | PBE-GGA | optimized geometry

Results
The value obtained for the energy above the most stable polymorph in this dataset is 0.219 eV per atom. Its raw formation energy is 1351 meV per atom. As for the crystal system: tetragonal.

Unit cell a=4.873 b=4.873 c=4.885 alpha=90.00 beta=90.00 gamma=90.00
Space group P4/mmm (No. 123)
One atom of each set of equivalent atoms:
1 Cr 0.000 0.000 0.000 (multiplicity 1)
2 B 0.500 0.500 0.500 (multiplicity 1)
3 Te 0.000 0.500 0.500 (multiplicity 2)
4 I 0.500 0.500 0.000 (multiplicity 1)


# 2
LaH6Ir2 | PBE-GGA | optimized geometry

Results
Its total energy is -5.0084 eV/atom. As for the crystal system: hexagonal.

Unit cell a=4.8037 b=4.8037 c=4.3310 alpha=90.00 beta=90.00 gamma=120.00
Space group P6/mmm (No. 191)
One atom of each set of equivalent atoms:
1 La 0.0000 0.0000 0.0000 (multiplicity 1)
2 H 0.0000 0.5000 0.2356 (multiplicity 6)
3 Ir 0.3333 0.6667 0.5000 (multiplicity 2)


# 3
KNd2AuS4 | PBE-GGA | optimized geometry

Results
Its raw formation energy is -1544 meV per atom. As for the crystal system: orthorhombic.

Unit cell a=4.140 b=13.904 c=14.396 alpha=90.00 beta=90.00 gamma=90.00
Space group Cmcm (No. 63)
One atom of each set of equivalent atoms:
1 K 0.000 0.118 0.250 (multiplicity 4)
2 Nd 0.000 0.368 0.067 (multiplicity 8)
3 Au 0.000 0.157 0.750 (multiplicity 4)
4 S 0.000 0.000 0.000 (multiplicity 4)
5 S 0.000 0.265 0.607 (multiplicity 8)
6 S 0.000 0.447 0.250 (multiplicity 4)


# 4
CaYTe2N | PBE-GGA | optimized geometry

Results
The value obtained for the energy above the most stable polymorph in this dataset is 0.000 eV per atom. Its raw formation energy is -491 meV per atom. As for the crystal system: tetragonal.

Unit cell a=5.951 b=5.951 c=4.417 alpha=90.00 beta=90.00 gamma=90.00
Space group P4/mmm (No. 123)
One atom of each set of equivalent atoms:
1 Ca 0.000 0.000 0.000 (multiplicity 1)
2 Y 0.500 0.500 0.500 (multiplicity 1)
3 Te 0.000 0.500 0.500 (multiplicity 2)
4 N 0.500 0.500 0.000 (multiplicity 1)


# 5
Sr2GeH | PBE-GGA | optimized geometry

Results
The value obtained for the energy above the most stable polymorph in this dataset is 0.138 eV per atom. As for the crystal system: trigonal.

Unit cell a=4.3106 b=4.3106 c=20.9414 alpha=90.00 beta=90.00 gamma=120.00
Space group R-3m (No. 166, hexagonal axes)
One atom of each set of equivalent atoms:
1 Sr 0.0000 0.0000 0.2443 (multiplicity 6)
2 Ge 0.0000 0.0000 0.0000 (multiplicity 3)
3 H 0.0000 0.0000 0.5000 (multiplicity 3)


# 6
CsBa2SbO | PBE-GGA | optimized geometry

Results
Its raw formation energy is -1316 meV per atom. As for the crystal system: tetragonal.

Unit cell a=5.557 b=5.557 c=5.663 alpha=90.00 beta=90.00 gamma=90.00
Space group P4/mmm (No. 123)
One atom of each set of equivalent atoms:
1 Cs 0.000 0.000 0.000 (multiplicity 1)
2 Ba 0.000 0.500 0.500 (multiplicity 2)
3 Sb 0.500 0.500 0.000 (multiplicity 1)
4 O 0.000 0.000 0.500 (multiplicity 1)


Copy entry 6 word for word.
CsBa2SbO | PBE-GGA | optimized geometry

Results
Its raw formation energy is -1316 meV per atom. As for the crystal system: tetragonal.

Unit cell a=5.557 b=5.557 c=5.663 alpha=90.00 beta=90.00 gamma=90.00
Space group P4/mmm (No. 123)
One atom of each set of equivalent atoms:
1 Cs 0.000 0.000 0.000 (multiplicity 1)
2 Ba 0.000 0.500 0.500 (multiplicity 2)
3 Sb 0.500 0.500 0.000 (multiplicity 1)
4 O 0.000 0.000 0.500 (multiplicity 1)